VASP calculation (PBE) on a relaxed structure of LiZrCu2Se4.

Calculated values
**Energy**: -37.29 eV for the cell shown

Lattice parameters (Å, degrees): 6.916 6.055 6.055 69.43 55.18 55.18
Atoms (fractional coordinates):
Se  0.443  0.557  0.952
Li  0.500  0.500  0.500
Zr  0.000  0.000  0.000
Se  0.951  0.443  0.048
Cu  0.248  0.252  0.252
Se  0.557  0.048  0.443
Se  0.049  0.952  0.557
Cu  0.752  0.748  0.748

=====

VASP calculation (PBE) on a relaxed structure of Ba2CaTlAu.

Calculated values
**Calculated formation energy**: -0.3021 eV/atom

Lattice parameters (Å, degrees): 6.333 6.333 5.723 90.00 90.00 90.00
Atoms (fractional coordinates):
Au  0.000  0.000  0.000
Ca  0.000  0.000  0.500
Ba  0.000  0.500  0.000
Ba  0.500  0.000  0.000
Tl  0.500  0.500  0.500

=====

VASP calculation (PBE) on a relaxed structure of AcPrYCd.

Calculated values
**Calculated formation energy**: 0.0455 eV/atom

Lattice parameters (Å, degrees): 5.706 5.706 5.706 60.00 60.00 60.00
Atoms (fractional coordinates):
Ac  0.000  0.000  0.000
Cd  0.500  0.500  0.500
Y  0.250  0.250  0.250
Pr  0.750  0.750  0.750

=====

VASP calculation (PBE) on a relaxed structure of TbSn4Pd15.

Calculated values
**Calculated formation energy**: -0.5779 eV/atom

Lattice parameters (Å, degrees): 4.065 4.065 20.247 90.00 90.00 90.00
Atoms (fractional coordinates):
Pd  0.500  0.500  0.000
Sn  0.000  0.000  0.797
Sn  0.000  0.000  0.203
Pd  0.500  0.500  0.797
Pd  0.000  0.500  0.500
Pd  0.500  0.000  0.698
Pd  0.500  0.000  0.500
Pd  0.500  0.000  0.105
Sn  0.000  0.000  0.401
Pd  0.000  0.500  0.105
Pd  0.500  0.500  0.599
Pd  0.500  0.500  0.401
Pd  0.000  0.500  0.895
Pd  0.500  0.500  0.203
Sn  0.000  0.000  0.599
Pd  0.500  0.000  0.302
Tb  0.000  0.000  0.000
Pd  0.000  0.500  0.302
Pd  0.500  0.000  0.895
Pd  0.000  0.500  0.698

=====

VASP calculation (PBE) on a relaxed structure of ZnSiHg2.

Calculated values
**Energy**: -5.59 eV for the cell shown

Lattice parameters (Å, degrees): 4.870 4.870 4.870 60.00 60.00 60.00
Atoms (fractional coordinates):
Hg  0.750  0.750  0.750
Si  0.000  0.000  0.000
Zn  0.500  0.500  0.500
Hg  0.250  0.250  0.250

=====

VASP calculation (PBE) on a relaxed structure of BaGa3Ir3.

Calculated values
**Calculated formation energy**: -0.1993 eV/atom

Lattice parameters (Å, degrees): 6.969 6.969 8.642 66.22 66.22 60.00
Atoms (fractional coordinates):
Ir  0.529  0.319  0.356
Ba  0.673  0.673  0.982
Ba  0.327  0.327  0.018
Ir  0.681  0.204  0.644
Ga  0.114  0.603  0.335
Ga  0.947  0.114  0.335
Ir  0.319  0.796  0.356
Ir  0.796  0.529  0.356
Ir  0.471  0.681  0.644
Ir  0.204  0.471  0.644
Ga  0.886  0.397  0.665
Ga  0.603  0.947  0.335
Ga  0.397  0.053  0.665
Ga  0.053  0.886  0.665

=====

VASP calculation (PBE) on a relaxed structure of HfCo2Au2.

Calculated values
**Calculated formation energy**: 0.0341 eV/atom

Lattice parameters (Å, degrees): 3.526 3.526 7.175 75.78 75.78 90.00
Atoms (fractional coordinates):
Hf  0.000  0.000  0.000
Au  0.396  0.396  0.209
Co  0.250  0.750  0.500
Co  0.750  0.250  0.500
Au  0.604  0.604  0.791

=====

VASP calculation (PBE) on a relaxed structure of TaSiRu2.

Calculated values
**Energy**: -37.08 eV for the cell shown

Lattice parameters (Å, degrees): 3.949 2.828 5.459 75.32 90.00 90.00
Atoms (fractional coordinates):
Ru  0.000  0.103  0.021
Si  0.500  0.250  0.250
Ru  0.000  0.397  0.479
Ta  0.500  0.750  0.750

=====

VASP calculation (PBE) on a relaxed structure of PrY4In5.

Calculated values
**Calculated formation energy**: -0.4996 eV/atom

Lattice parameters (Å, degrees): 3.784 3.784 19.046 90.00 90.00 90.00
Atoms (fractional coordinates):
In  0.500  0.500  0.891
In  0.500  0.500  0.696
In  0.500  0.500  0.500
Y  0.000  0.000  0.794
Y  0.000  0.000  0.598
In  0.500  0.500  0.109
Pr  0.000  0.000  0.000
Y  0.000  0.000  0.402
Y  0.000  0.000  0.206
In  0.500  0.500  0.304

=====

VASP calculation (PBE) on a relaxed structure of V2Zn2Ga.

Calculated values
**Calculated formation energy**: 0.2143 eV/atom

Lattice parameters (Å, degrees): 6.511 6.511 3.657 90.00 90.00 90.00
Atoms (fractional coordinates):
Zn  0.324  0.176  0.500
V  0.621  0.121  0.000
Zn  0.824  0.324  0.500
V  0.879  0.621  0.000
Ga  0.500  0.500  0.000
Zn  0.176  0.676  0.500
Zn  0.676  0.824  0.500
V  0.379  0.879  0.000
Ga  0.000  0.000  0.000
V  0.121  0.379  0.000

=====

VASP calculation (PBE) on a relaxed structure of SmDyPa2As4.

Calculated values
**Calculated formation energy**: -1.2819 eV/atom

Lattice parameters (Å, degrees): 4.125 7.142 7.144 70.53 90.00 90.00
Atoms (fractional coordinates):
As  0.000  0.243  0.255
As  0.500  0.755  0.251
Pa  0.000  0.000  0.000
Pa  0.500  0.000  0.500
As  0.000  0.757  0.745
Sm  0.500  0.500  0.000
Dy  0.000  0.500  0.500
As  0.500  0.245  0.749

=====

VASP calculation (PBE) on a relaxed structure of NbV3As.

Calculated values
**Calculated formation energy**: -0.2577 eV/atom

Lattice parameters (Å, degrees): 3.252 8.469 10.913 90.00 90.00 90.00
Atoms (fractional coordinates):
V  0.750  0.587  0.273
V  0.750  0.439  0.912
V  0.250  0.561  0.088
V  0.250  0.413  0.727
As  0.250  0.151  0.630
Nb  0.250  0.648  0.491
V  0.250  0.913  0.773
As  0.750  0.349  0.130
V  0.250  0.846  0.197
Nb  0.750  0.352  0.509
V  0.750  0.939  0.588
V  0.250  0.346  0.303
V  0.750  0.154  0.803
V  0.250  0.061  0.412
As  0.250  0.651  0.870
Nb  0.750  0.852  0.991
As  0.750  0.849  0.370
Nb  0.250  0.148  0.009
V  0.750  0.654  0.697
V  0.750  0.087  0.227

=====

VASP calculation (PBE) on a relaxed structure of KBaLi2.

Calculated values
**Calculated formation energy**: 0.2025 eV/atom

Lattice parameters (Å, degrees): 6.228 6.228 6.228 60.00 60.00 60.00
Atoms (fractional coordinates):
Li  0.000  0.000  0.000
K  0.750  0.750  0.750
Ba  0.500  0.500  0.500
Li  0.250  0.250  0.250

=====

VASP calculation (PBE) on a relaxed structure of Al2Ir2Pd.

Calculated values
**Calculated formation energy**: -0.6020 eV/atom

Lattice parameters (Å, degrees): 7.189 7.189 2.855 90.00 90.00 90.00
Atoms (fractional coordinates):
Al  0.854  0.646  0.000
Al  0.646  0.146  0.000
Ir  0.151  0.651  0.500
Ir  0.849  0.349  0.500
Al  0.354  0.854  0.000
Ir  0.651  0.849  0.500
Al  0.146  0.354  0.000
Ir  0.349  0.151  0.500
Pd  0.500  0.500  0.000
Pd  0.000  0.000  0.000